The following is a DFT calculation (PBE-GGA) of a relaxed structure of KPdI2.

Results
Formation energy (no corrections) in eV per formula unit: -1.1
Energy above the most stable polymorph in this dataset in meV/atom: 315
Space-group type: Fm-3m (225)
Density of states at the Fermi level in states/eV/atom: 2.4006
Crystal system: cubic

abc: 7.917 7.917 7.917
angles: 90.00 90.00 90.00
Fractional positions:
K 0.000 0.000 0.000
K 0.000 0.500 0.500
K 0.500 0.000 0.500
K 0.500 0.500 0.000
Pd 0.000 0.000 0.500
Pd 0.000 0.500 0.000
Pd 0.500 0.000 0.000
Pd 0.500 0.500 0.500
I 0.250 0.250 0.250
I 0.250 0.250 0.750
I 0.250 0.750 0.250
I 0.250 0.750 0.750
I 0.750 0.250 0.250
I 0.750 0.250 0.750
I 0.750 0.750 0.250
I 0.750 0.750 0.750

The following is a DFT calculation (PBE-GGA) of a relaxed structure of K12Pd5I3.

Results
Formation energy (no corrections) in eV per formula unit: -4.8
Space-group type: Ia-3d (230)
Density of states at the Fermi level in states/eV/atom: 0.5984
Crystal system: cubic

abc: 17.013 17.013 17.013
angles: 109.47 109.47 109.47
Fractional positions:
K 0.030 0.208 0.117
K 0.030 0.322 0.913
K 0.087 0.617 0.408
K 0.087 0.970 0.678
K 0.092 0.708 0.678
K 0.092 0.883 0.413
K 0.117 0.030 0.208
K 0.117 0.587 0.908
K 0.178 0.208 0.592
K 0.178 0.470 0.587
K 0.208 0.117 0.030
K 0.208 0.592 0.178
K 0.292 0.322 0.908
K 0.292 0.470 0.383
K 0.322 0.908 0.292
K 0.322 0.913 0.030
K 0.383 0.292 0.470
K 0.383 0.592 0.913
K 0.408 0.087 0.617
K 0.408 0.822 0.792
K 0.413 0.092 0.883
K 0.413 0.822 0.530
K 0.470 0.383 0.292
K 0.470 0.587 0.178
K 0.530 0.413 0.822
K 0.530 0.617 0.708
K 0.587 0.178 0.470
K 0.587 0.908 0.117
K 0.592 0.178 0.208
K 0.592 0.913 0.383
K 0.617 0.408 0.087
K 0.617 0.708 0.530
K 0.678 0.087 0.970
K 0.678 0.092 0.708
K 0.708 0.530 0.617
K 0.708 0.678 0.092
K 0.792 0.408 0.822
K 0.792 0.883 0.970
K 0.822 0.530 0.413
K 0.822 0.792 0.408
K 0.883 0.413 0.092
K 0.883 0.970 0.792
K 0.908 0.117 0.587
K 0.908 0.292 0.322
K 0.913 0.030 0.322
K 0.913 0.383 0.592
K 0.970 0.678 0.087
K 0.970 0.792 0.883
Pd 0.000 0.000 0.000
Pd 0.000 0.000 0.500
Pd 0.000 0.500 0.000
Pd 0.000 0.500 0.500
Pd 0.125 0.750 0.875
Pd 0.125 0.875 0.250
Pd 0.250 0.125 0.875
Pd 0.250 0.625 0.375
Pd 0.375 0.250 0.625
Pd 0.375 0.625 0.750
Pd 0.500 0.000 0.000
Pd 0.500 0.000 0.500
Pd 0.500 0.500 0.000
Pd 0.500 0.500 0.500
Pd 0.625 0.375 0.250
Pd 0.625 0.750 0.375
Pd 0.750 0.375 0.625
Pd 0.750 0.875 0.125
Pd 0.875 0.125 0.750
Pd 0.875 0.250 0.125
I 0.125 0.250 0.375
I 0.125 0.375 0.750
I 0.250 0.375 0.125
I 0.250 0.875 0.625
I 0.375 0.125 0.250
I 0.375 0.750 0.125
I 0.625 0.250 0.875
I 0.625 0.875 0.750
I 0.750 0.125 0.375
I 0.750 0.625 0.875
I 0.875 0.625 0.250
I 0.875 0.750 0.625

The following is a DFT calculation (PBE-GGA) of a relaxed structure of KPdI.

Results
Formation energy (no corrections) in eV per formula unit: -1.1
Energy above the most stable polymorph in this dataset in meV/atom: 292
Space-group type: Pnma (62)
Density of states at the Fermi level in states/eV/atom: 0.1221
Crystal system: orthorhombic

abc: 11.200 8.011 4.164
angles: 90.00 90.00 90.00
Fractional positions:
K 0.233 0.250 0.003
K 0.267 0.750 0.503
K 0.733 0.250 0.497
K 0.767 0.750 0.997
Pd 0.039 0.750 0.001
Pd 0.461 0.250 0.501
Pd 0.539 0.750 0.499
Pd 0.961 0.250 0.999
I 0.000 0.000 0.500
I 0.000 0.500 0.500
I 0.500 0.000 0.000
I 0.500 0.500 0.000